1.
Here is a relaxed Cd2CoCl crystal from Alexandria via LeMat-Bulk. Energies are from GGA-PBE.

Cell lengths 3.1720, 3.1197, 7.9069 Å; angles 90.00, 90.18, 90.00 degrees
Last column: nearest neighbours and their distance in Å.
Fractional coordinates of all 4 atoms:
Cd1 0.0016 0.0000 0.2102  2 Cl 2.77, 4 Co 2.78
Cd2 0.9984 0.0000 0.7898  2 Cl 2.77, 4 Co 2.78
Co1 0.5000 0.5000 0.0000  8 Cd 2.78
Cl1 0.0000 0.5000 0.5000  4 Cd 2.77

Summary:
ΔE_f (raw) = 1 meV per atom
energy relative to the lowest polymorph listed for this composition = 9 meV/atom

=====

2.
Here is a relaxed CdCo2Cl crystal from Alexandria via LeMat-Bulk. Energies are from GGA-PBE.

Cell lengths 2.9965, 2.9965, 8.2171 Å; angles 90.00, 90.00, 120.79 degrees
Last column: nearest neighbours and their distance in Å.
Fractional coordinates of all 4 atoms:
Cd1 0.0000 0.0000 0.0000  4 Co 2.70, 6 Cd 2.96-3.00
Co1 0.5000 0.5000 0.2754  2 Cl 2.37
Co2 0.5000 0.5000 0.7246  2 Cl 2.37
Cl1 0.0000 0.0000 0.5000  4 Co 2.37

Summary:
ΔE_f (raw) = 480 meV per atom
energy relative to the lowest polymorph listed for this composition = 367 meV/atom

=====

3.
Here is a relaxed Cd2CoCl crystal from Alexandria via LeMat-Bulk. Energies are from GGA-PBE.

Cell lengths 4.3108, 3.0844, 6.7214 Å; angles 90.00, 108.51, 90.00 degrees
Last column: nearest neighbours and their distance in Å.
Fractional coordinates of all 4 atoms:
Cd1 0.0000 0.0000 0.0000  4 Co 2.74-2.75
Cd2 0.3493 0.5000 0.6999  1 Co 2.63
Co1 0.5556 0.5000 0.1117  2 Cl 2.31
Cl1 0.6887 0.0000 0.3822  2 Co 2.31

Summary:
ΔE_f (raw) = 52 meV per atom
energy relative to the lowest polymorph listed for this composition = 60 meV/atom

=====

4.
Here is a relaxed Cd2CoCl crystal from Alexandria via LeMat-Bulk. Energies are from GGA-PBE.

Cell lengths 3.0863, 4.7856, 5.4052 Å; angles 90.00, 90.00, 90.00 degrees
Last column: nearest neighbours and their distance in Å.
Fractional coordinates of all 4 atoms:
Cd1 0.0000 0.0000 0.0000  6 Cd 2.85-3.09, 4 Cl 3.11
Cd2 0.5000 0.5000 0.0000  6 Cd 2.85-3.09, 4 Co 3.11
Co1 0.0000 0.5000 0.5000  4 Cl 2.85, 2 Co 3.09, 4 Cd 3.11
Cl1 0.5000 0.0000 0.5000  4 Co 2.85, 2 Cl 3.09, 4 Cd 3.11

Summary:
ΔE_f (raw) = 356 meV per atom
energy relative to the lowest polymorph listed for this composition = 364 meV/atom

=====

5.
Here is a relaxed CdCo2Cl crystal from Alexandria via LeMat-Bulk. Energies are from GGA-PBE.

Cell lengths 4.8159, 4.8159, 2.9066 Å; angles 90.00, 90.00, 108.65 degrees
Last column: nearest neighbours and their distance in Å.
Fractional coordinates of all 4 atoms:
Cd1 0.0000 0.0000 0.0000  2 Cl 2.81, 8 Co 2.81, 2 Cd 2.91
Co1 0.0000 0.5000 0.5000  4 Co 2.81-2.91, 4 Cl 2.81, 4 Cd 2.81
Co2 0.5000 0.0000 0.5000  4 Co 2.81-2.91, 4 Cl 2.81, 4 Cd 2.81
Cl1 0.5000 0.5000 0.0000  2 Cd 2.81, 8 Co 2.81, 2 Cl 2.91

Summary:
ΔE_f (raw) = 645 meV per atom
energy relative to the lowest polymorph listed for this composition = 531 meV/atom

=====

6.
Here is a relaxed CdCo2Cl crystal from Alexandria via LeMat-Bulk. Energies are from GGA-PBE.

Cell lengths 8.1009, 8.1009, 8.1009 Å; angles 21.17, 21.17, 21.17 degrees
Last column: nearest neighbours and their distance in Å.
Fractional coordinates of all 4 atoms:
Cd1 0.0000 0.0000 0.0000  6 Co 2.78, 6 Cd 2.98
Co1 0.2412 0.2412 0.2412  3 Cl 2.47
Co2 0.7588 0.7588 0.7588  3 Cl 2.47
Cl1 0.5000 0.5000 0.5000  6 Co 2.47

Summary:
ΔE_f (raw) = 393 meV per atom
energy relative to the lowest polymorph listed for this composition = 280 meV/atom

=====

7.
Here is a relaxed CdCo2Cl crystal from Alexandria via LeMat-Bulk. Energies are from GGA-PBE.

Cell lengths 3.9778, 3.9778, 6.6763 Å; angles 92.83, 92.83, 45.63 degrees
Last column: nearest neighbours and their distance in Å.
Fractional coordinates of all 4 atoms:
Cd1 0.0000 0.0000 0.0000  5 Co 2.67-2.93, 1 Cl 2.68
Co1 0.3945 0.3945 0.6396  3 Co 2.30-2.31, 2 Cl 2.37
Co2 0.6934 0.6934 0.7620  3 Co 2.30-2.31
Cl1 0.8738 0.8738 0.3700  2 Co 2.37

Summary:
ΔE_f (raw) = 230 meV per atom
energy relative to the lowest polymorph listed for this composition = 117 meV/atom

=====

8.
Here is a relaxed Cd2CoCl crystal from Alexandria via LeMat-Bulk. Energies are from GGA-PBE.

Cell lengths 3.1433, 3.1433, 7.5851 Å; angles 90.00, 90.00, 90.00 degrees
Last column: nearest neighbours and their distance in Å.
Fractional coordinates of all 4 atoms:
Cd1 0.0000 0.0000 0.2142  4 Co 2.75
Cd2 0.0000 0.0000 0.7858  4 Co 2.75
Co1 0.5000 0.5000 0.0000  8 Cd 2.75
Cl1 0.5000 0.5000 0.5000  8 Cd 3.10, 4 Cl 3.14

Summary:
ΔE_f (raw) = 44 meV per atom
energy relative to the lowest polymorph listed for this composition = 52 meV/atom

=====

9.
Here is a relaxed CdCo2Cl crystal from Alexandria via LeMat-Bulk. Energies are from GGA-PBE.

Cell lengths 6.2124, 6.2124, 6.2124 Å; angles 151.98, 135.52, 53.40 degrees
Last column: nearest neighbours and their distance in Å.
Fractional coordinates of all 4 atoms:
Cd1 0.0000 0.0000 0.0000  6 Co 2.66-2.83
Co1 0.4599 0.4599 0.0000  2 Co 2.26, 2 Cl 2.43
Co2 0.6116 0.1116 0.5000  2 Co 2.26
Cl1 0.2880 0.7880 0.5000  2 Co 2.43

Summary:
ΔE_f (raw) = 338 meV per atom
energy relative to the lowest polymorph listed for this composition = 224 meV/atom

=====

10.
Here is a relaxed Cd2CoCl2 crystal from Alexandria via LeMat-Bulk. Energies are from GGA-PBE.

Cell lengths 5.7147, 5.7147, 5.7147 Å; angles 113.02, 113.02, 102.59 degrees
Last column: nearest neighbours and their distance in Å.
Fractional coordinates of all 5 atoms:
Cd1 0.2500 0.7500 0.5000  4 Cl 3.17
Cd2 0.7500 0.2500 0.5000  4 Cl 3.17
Co1 0.0000 0.0000 0.0000  2 Cl 2.09
Cl1 0.2924 0.2924 0.0000  1 Co 2.09
Cl2 0.7076 0.7076 0.0000  1 Co 2.09

Summary:
ΔE_f (raw) = 88 meV per atom
energy relative to the lowest polymorph listed for this composition = 197 meV/atom

=====

11.
Here is a relaxed CdCo3Cl crystal from Alexandria via LeMat-Bulk. Energies are from GGA-PBE.

Cell lengths 4.1492, 4.1492, 4.1492 Å; angles 90.00, 90.00, 90.00 degrees
Last column: nearest neighbours and their distance in Å.
Fractional coordinates of all 5 atoms:
Cd1 0.0000 0.0000 0.0000  12 Co 2.93
Co1 0.0000 0.5000 0.5000  2 Cl 2.07
Co2 0.5000 0.0000 0.5000  2 Cl 2.07
Co3 0.5000 0.5000 0.0000  2 Cl 2.07
Cl1 0.5000 0.5000 0.5000  6 Co 2.07

Summary:
ΔE_f (raw) = 656 meV per atom
energy relative to the lowest polymorph listed for this composition = 0 meV/atom

=====

12.
Here is a relaxed Cd2CoCl crystal from Alexandria via LeMat-Bulk. Energies are from GGA-PBE.

Cell lengths 5.1152, 5.1152, 6.2941 Å; angles 102.15, 102.15, 35.91 degrees
Last column: nearest neighbours and their distance in Å.
Fractional coordinates of all 4 atoms:
Cd1 0.0000 0.0000 0.0000  2 Co 2.65, 1 Cl 2.70
Cd2 0.2399 0.2399 0.7609  3 Co 2.76, 3 Cd 3.04-3.08
Co1 0.5021 0.5021 0.6624  2 Cl 2.31
Cl1 0.9295 0.9295 0.3916  2 Co 2.31

Summary:
ΔE_f (raw) = 3 meV per atom
energy relative to the lowest polymorph listed for this composition = 11 meV/atom

=====

no.,spin magnetization (μB per cell)
1,1.1
2,3.6
3,1.4
4,1.9
5,3.8
6,3.6
7,3.4
8,0.5
9,3.8
10,2.2
11,2.0
12,1.4